# 1
{"formula": "CoPI2", "functional": "GGA-PBE", "state": "relaxed", "lattice": [[2.944, -0.348, 4.022], [-1.274, 2.322, 4.237], [-1.484, -2.663, 3.959]], "species": ["I", "I", "P", "Co"], "fractional_positions": [[0.250, 0.250, 0.250], [0.750, 0.750, 0.750], [0.000, 0.000, 0.000], [0.500, 0.500, 0.500]], "space_group": "No. 225", "formation_energy_uncorrected_ev_per_atom": 1.074}


# 2
{"formula": "Nd7DyY3", "functional": "GGA-PBE", "state": "relaxed", "lattice": [[9.817, -2.437, 2.023], [-5.668, 8.380, -2.022], [2.483, -1.732, 12.260]], "species": ["Nd", "Nd", "Nd", "Nd", "Nd", "Nd", "Nd", "Nd", "Nd", "Nd", "Nd", "Nd", "Nd", "Nd", "Dy", "Dy", "Y", "Y", "Y", "Y", "Y", "Y"], "fractional_positions": [[0.164, 0.845, 0.225], [0.155, 0.836, 0.725], [0.086, 0.421, 0.528], [0.084, 0.420, 0.029], [0.580, 0.914, 0.028], [0.580, 0.916, 0.529], [0.280, 0.280, 0.750], [0.719, 0.719, 0.250], [0.421, 0.086, 0.972], [0.420, 0.084, 0.471], [0.916, 0.580, 0.971], [0.914, 0.579, 0.472], [0.845, 0.164, 0.275], [0.836, 0.155, 0.775], [0.500, 0.500, 0.000], [0.500, 0.500, 0.500], [0.329, 0.668, 0.774], [0.000, 0.000, 0.000], [0.000, 0.000, 0.500], [0.332, 0.671, 0.274], [0.668, 0.329, 0.726], [0.671, 0.332, 0.226]], "space_group": "No. 15", "formation_enthalpy_0k_ev_per_atom": 0.182}


# 3
{"formula": "ScUTc", "functional": "GGA-PBE", "state": "relaxed", "lattice": [[3.422, 0.000, 0.000], [0.000, 3.422, 0.000], [-1.711, -1.711, 11.406]], "species": ["Sc", "Sc", "U", "U", "Tc", "Tc"], "fractional_positions": [[0.073, 0.073, 0.147], [0.927, 0.927, 0.853], [0.658, 0.658, 0.315], [0.342, 0.342, 0.685], [0.796, 0.796, 0.591], [0.204, 0.204, 0.409]], "space_group": "No. 139", "formation_enthalpy_0k_ev_per_atom": 0.255}


no.,V (Å³/atom)
1,22.1
2,36.1
3,22.3